# In3WO7, optimized geometry, DFT PBE+U
data_In3WO7
_chemical_formula_sum 'In6 W2 O14'
_cell_length_a 6.3940
_cell_length_b 6.3940
_cell_length_c 7.2838
_cell_angle_alpha 90.00
_cell_angle_beta 90.00
_cell_angle_gamma 108.48
_space_group_name_H-M_alt 'P 1'
_space_group_IT_number 1
loop_
_space_group_symop_operation_xyz
'x,y,z'
loop_
_atom_site_label
_atom_site_type_symbol
_atom_site_fract_x
_atom_site_fract_y
_atom_site_fract_z
In1 In 0.9994 0.4762 0.2462
O1 O 0.3616 0.6384 0.7500
O2 O 0.3207 0.0563 0.0303
O3 O 0.0724 0.9276 0.7500
In2 In 0.5238 0.0006 0.2538
O4 O 0.3695 0.6305 0.2500
O5 O 0.6384 0.3616 0.2500
O6 O 0.6305 0.3695 0.7500
In3 In 0.0006 0.5238 0.7462
O7 O 0.0815 0.3288 0.5256
O8 O 0.6793 0.9437 0.5303
O9 O 0.9185 0.6712 0.0256
O10 O 0.3288 0.0815 0.4744
O11 O 0.9437 0.6793 0.4697
O12 O 0.6712 0.9185 0.9744
O13 O 0.9276 0.0724 0.2500
W1 W 0.0040 0.0040 0.0000
W2 W 0.9960 0.9960 0.5000
O14 O 0.0563 0.3207 0.9697
In4 In 0.4665 0.4665 0.5000
In5 In 0.4762 0.9994 0.7538
In6 In 0.5335 0.5335 0.0000
# Total energy   -6.2055 eV/atom
# Symmetry   C222_1 (20)